4
Lattice="6.403 0.000 0.000 0.000 6.403 0.000 0.000 0.000 4.483" Properties=species:S:1:pos:R:3 comment="CsKCd2, relaxed, DFT PBE" e_above_lowest_polymorph_mev_per_atom=98 magmom_total_mub_per_atom=0.00 pbc="T T T"
Cs 0.000 0.000 0.000
K 3.202 3.202 0.000
Cd 0.000 3.202 2.241
Cd 3.202 0.000 2.241

18
Lattice="3.279 -8.660 0.000 3.279 8.660 0.000 0.000 0.000 7.302" Properties=species:S:1:pos:R:3 comment="Er2Tm3Pd4, relaxed, DFT PBE" e_above_lowest_polymorph_mev_per_atom=115 magmom_total_mub_per_atom=0.00 pbc="T T T"
Er 3.279 7.021 6.687
Er 3.279 1.639 3.036
Er 3.279 -1.639 4.266
Er 3.279 -7.021 0.615
Tm 0.000 0.000 3.651
Tm 1.640 4.042 5.476
Tm 1.640 -4.042 1.825
Tm 3.279 0.000 0.000
Tm 4.919 4.042 5.476
Tm 4.919 -4.042 1.825
Pd 3.279 5.796 3.939
Pd 1.640 1.196 5.476
Pd 1.640 -1.196 1.825
Pd 3.279 2.865 0.288
Pd 3.279 -2.865 7.013
Pd 4.919 1.196 5.476
Pd 4.919 -1.196 1.825
Pd 3.279 -5.796 3.362

4
Lattice="5.589 0.000 0.000 0.000 3.609 0.000 0.000 0.000 6.246" Properties=species:S:1:pos:R:3 comment="DyHo, relaxed, DFT PBE" e_above_lowest_polymorph_mev_per_atom=0 magmom_total_mub_per_atom=0.00 pbc="T T T"
Dy 1.397 0.000 1.046
Dy 4.192 0.000 5.200
Ho 1.397 1.804 4.166
Ho 4.192 1.804 2.080

4
Lattice="5.692 -1.657 0.000 5.692 1.657 0.000 -1.869 0.000 5.437" Properties=species:S:1:pos:R:3 comment="BaMo2Se, relaxed, DFT PBE" magmom_total_mub_per_atom=0.00 raw_formation_energy_ev_per_atom=0.349 pbc="T T T"
Ba 0.000 0.000 0.000
Mo 1.256 0.000 3.289
Mo 8.260 0.000 2.148
Se 4.758 0.000 2.718

12
Lattice="4.112 0.000 0.000 0.000 4.112 0.000 0.000 0.000 12.320" Properties=species:S:1:pos:R:3 comment="Er2UPd9, relaxed, DFT PBE" magmom_total_mub_per_atom=0.12 final_energy_ev_per_cell=-76.9 pbc="T T T"
Er 0.000 0.000 1.995
Er 0.000 0.000 10.325
U 0.000 0.000 6.160
Pd 0.000 2.056 0.000
Pd 0.000 2.056 4.151
Pd 0.000 2.056 8.169
Pd 2.056 0.000 0.000
Pd 2.056 0.000 4.151
Pd 2.056 0.000 8.169
Pd 2.056 2.056 2.066
Pd 2.056 2.056 6.160
Pd 2.056 2.056 10.254

4
Lattice="-1.986 3.308 3.741 1.986 -3.308 3.741 1.986 3.308 -3.741" Properties=species:S:1:pos:R:3 comment="KCuP2, relaxed, DFT PBE" e_above_lowest_polymorph_mev_per_atom=30 magmom_total_mub_per_atom=0.00 pbc="T T T"
K 0.000 0.000 0.000
Cu 0.000 0.000 3.741
P 1.986 0.000 2.639
P 0.000 3.308 1.102

8
Lattice="2.562 -2.692 0.000 2.562 2.692 0.000 -2.522 0.000 13.846" Properties=species:S:1:pos:R:3 comment="KMgBe2, relaxed, DFT PBE" magmom_total_mub_per_atom=0.00 final_energy_ev_per_cell=-18.3 pbc="T T T"
K 0.002 0.000 4.863
K 2.599 0.000 8.983
Mg 0.040 0.000 11.929
Mg 2.561 0.000 1.917
Be 1.281 1.346 0.000
Be -0.001 0.000 1.065
Be 1.281 -1.346 0.000
Be 2.602 0.000 12.781

18
Lattice="7.139 0.000 0.000 -3.570 6.183 0.000 0.000 0.000 6.817" Properties=species:S:1:pos:R:3 comment="ZrAlNi, relaxed, DFT PBE" magmom_total_mub_per_atom=0.00 final_energy_ev_per_cell=-115.1 pbc="T T T"
Zr -0.997 1.726 0.000
Zr -0.997 1.726 3.409
Zr 1.993 0.000 0.000
Zr 1.993 0.000 3.409
Zr 2.573 4.456 0.000
Zr 2.573 4.456 3.409
Al -1.853 3.880 1.704
Al 1.135 2.638 1.704
Al 1.717 2.302 5.113
Al 0.717 5.847 1.704
Al 4.287 0.336 5.113
Al 4.705 3.544 5.113
Ni 0.000 0.000 1.704
Ni 0.000 0.000 5.113
Ni 0.000 4.122 3.896
Ni 0.000 4.122 6.330
Ni 3.570 2.061 0.487
Ni 3.570 2.061 2.921

4
Lattice="4.942 0.000 0.000 0.000 4.942 0.000 0.000 0.000 4.917" Properties=species:S:1:pos:R:3 comment="Tb2YSc, relaxed, DFT PBE" e_above_lowest_polymorph_mev_per_atom=8 magmom_total_mub_per_atom=0.00 pbc="T T T"
Tb 0.000 2.471 0.000
Tb 2.471 0.000 0.000
Y 0.000 0.000 2.459
Sc 2.471 2.471 2.459

6
Lattice="0.000 5.027 5.027 5.027 0.000 5.027 5.027 5.027 0.000" Properties=species:S:1:pos:R:3 comment="K4AlPb, relaxed, DFT PBE" magmom_total_mub_per_atom=0.00 final_energy_ev_per_cell=-9.4 pbc="T T T"
K 1.254 1.254 1.254
K 3.773 3.773 1.254
K 3.773 1.254 3.773
K 1.254 3.773 3.773
Al 5.027 5.027 5.027
Pb 7.540 7.540 7.540

7
Lattice="2.085 1.204 8.640 -2.085 1.204 8.640 0.000 -2.408 8.640" Properties=species:S:1:pos:R:3 comment="Ti4AlIr2, relaxed, DFT PBE" magmom_total_mub_per_atom=0.00 final_energy_ev_per_cell=-55.4 pbc="T T T"
Ti 0.000 0.000 2.831
Ti 0.000 0.000 7.754
Ti 0.000 0.000 18.164
Ti 0.000 0.000 23.087
Al 0.000 0.000 12.959
Ir 0.000 0.000 10.408
Ir 0.000 0.000 15.510

4
Lattice="3.338 0.000 0.000 0.000 3.338 0.000 0.000 0.000 5.865" Properties=species:S:1:pos:R:3 comment="Sc2FeP, relaxed, DFT PBE" magmom_total_mub_per_atom=0.28 final_energy_ev_per_cell=-29.0 pbc="T T T"
Sc 0.000 0.000 1.441
Sc 0.000 0.000 4.424
Fe 1.669 1.669 2.933
P 1.669 1.669 0.000